The following is a DFT calculation (PBE) of a relaxed structure of Cs3RbZn2F9.

Cell: 6.3332 6.3332 8.0622 Å, 90.00 90.00 120.00°
Space group P-3m1 (No. 164)
Inequivalent atoms, fractional coordinates:
Cs  0.0000  0.0000  0.0000
Cs  0.3333  0.6667  0.6729
Rb  0.0000  0.0000  0.5000
Zn  0.3333  0.6667  0.1456
F  0.0000  0.5000  0.0000
F  0.1860  0.3720  0.2861

Results
As for the total energy: -3.954 eV per atom. The calculation puts the density of states at the Fermi level at 6.889 states/eV/cell. The calculation puts the density at 4.661 Mg/m³.

The following is a DFT calculation (PBE) of a relaxed structure of Ho2Ga2Ni5Sn.

Cell: 9.524 9.524 3.539 Å, 90.00 90.00 90.00°
Space group P4/mbm (No. 127)
Inequivalent atoms, fractional coordinates:
Ho  0.181  0.319  0.000
Ga  0.116  0.616  0.000
Ni  0.000  0.500  0.500
Ni  0.058  0.785  0.500
Sn  0.000  0.000  0.000

Results
As for the total energy: -5.217 eV per atom. The formation energy comes out at -0.40 eV/atom. The calculation puts the density of states at the Fermi level at 13.606 states/eV/cell. The calculation puts the density at 9.121 Mg/m³.

Repeat the second record exactly.
The following is a DFT calculation (PBE) of a relaxed structure of Ho2Ga2Ni5Sn.

Cell: 9.524 9.524 3.539 Å, 90.00 90.00 90.00°
Space group P4/mbm (No. 127)
Inequivalent atoms, fractional coordinates:
Ho  0.181  0.319  0.000
Ga  0.116  0.616  0.000
Ni  0.000  0.500  0.500
Ni  0.058  0.785  0.500
Sn  0.000  0.000  0.000

Results
As for the total energy: -5.217 eV per atom. The formation energy comes out at -0.40 eV/atom. The calculation puts the density of states at the Fermi level at 13.606 states/eV/cell. The calculation puts the density at 9.121 Mg/m³.